Record 1
# Gd2SiBr

A relaxed structure of Gd2SiBr (PBE, Alexandria via LeMat-Bulk).

The space group is R-3m (No. 166, hexagonal axes) and the conventional cell measures 4.1880, 4.1880 and 21.1743 Å, with angles of 90.00, 90.00 and 120.00 degrees. Symmetry generates all atoms from Gd at (0.0000, 0.0000, 0.2368), Si at (0.0000, 0.0000, 0.5000) and Br at (0.0000, 0.0000, 0.0000).

The total energy comes out at -9.87 eV/atom.



Record 2
# Tl3NiBr7

A relaxed structure of Tl3NiBr7 (PBE, Alexandria via LeMat-Bulk).

The space group is P4/mbm (No. 127) and the conventional cell measures 10.002, 10.002 and 7.087 Å, with angles of 90.00, 90.00 and 90.00 degrees. Symmetry generates all atoms from Tl at (0.000, 0.000, 0.000), Tl at (0.171, 0.329, 0.500), Ni at (0.000, 0.500, 0.000), Br at (0.000, 0.000, 0.500), Br at (0.118, 0.618, 0.244) and Br at (0.171, 0.329, 0.000).

The total energy comes out at -2.76 eV/atom.



Record 3
# La4Sm3UN8

A relaxed structure of La4Sm3UN8 (PBE, Alexandria via LeMat-Bulk).

The space group is R-3m (No. 166, hexagonal axes) and the conventional cell measures 7.2226, 7.2226 and 17.9873 Å, with angles of 90.00, 90.00 and 120.00 degrees. Symmetry generates all atoms from La at (0.0000, 0.0000, 0.0000), La at (0.0000, 0.5000, 0.0000), Sm at (0.0000, 0.5000, 0.5000), U at (0.0000, 0.0000, 0.5000), N at (0.0000, 0.0000, 0.2470) and N at (0.0294, 0.5147, 0.2391).

The total energy comes out at -8.40 eV/atom.



Record 4
# LiCa2Ir

A relaxed structure of LiCa2Ir (PBE, Alexandria via LeMat-Bulk).

The space group is P4/mmm (No. 123) and the conventional cell measures 4.989, 4.989 and 3.590 Å, with angles of 90.00, 90.00 and 90.00 degrees. Symmetry generates all atoms from Li at (0.000, 0.000, 0.000), Ca at (0.000, 0.500, 0.500) and Ir at (0.500, 0.500, 0.000).

The total energy comes out at -3.81 eV/atom.